[1]
# PBE SmH2Rh3, relaxed
# Crystal system: hexagonal
# E_tot: -5.7421 eV/atom
# N(E_F): 0.9422 states/eV/atom
data_SmH2Rh3
_chemical_formula_sum 'Sm1 H2 Rh3'
_space_group_name_H-M_alt 'P 6/m m m'
_space_group_IT_number 191
_space_group_name_Hall '-P 6 2'
_cell_length_a 5.3973
_cell_length_b 5.3973
_cell_length_c 2.9401
_cell_angle_alpha 90.00
_cell_angle_beta 90.00
_cell_angle_gamma 120.00
loop_
_atom_site_label
_atom_site_type_symbol
_atom_site_fract_x
_atom_site_fract_y
_atom_site_fract_z
Sm1 Sm 0.0000 0.0000 0.0000
H1 H 0.3333 0.6667 0.0000
Rh1 Rh 0.0000 0.5000 0.5000


[2]
# PBE SmH11Rh5, relaxed
# Crystal system: monoclinic
# E_tot: -4.7394 eV/atom
# N(E_F): 0.2229 states/eV/atom
data_SmH11Rh5
_chemical_formula_sum 'Sm2 H22 Rh10'
_space_group_name_H-M_alt 'C 1 2/m 1'
_space_group_IT_number 12
_space_group_name_Hall '-C 2y'
_cell_length_a 6.3128
_cell_length_b 6.1191
_cell_length_c 7.5020
_cell_angle_alpha 90.00
_cell_angle_beta 106.35
_cell_angle_gamma 90.00
loop_
_atom_site_label
_atom_site_type_symbol
_atom_site_fract_x
_atom_site_fract_y
_atom_site_fract_z
Sm1 Sm 0.0000 0.0000 0.0000
H1 H 0.0000 0.0000 0.5000
H2 H 0.1107 0.3225 0.4246
H3 H 0.1328 0.3252 0.8799
H4 H 0.2478 0.5000 0.1978
Rh1 Rh 0.0000 0.5000 0.0000
Rh2 Rh 0.1668 0.2469 0.6744


[3]
# PBE SmH3Rh2, relaxed
# Crystal system: orthorhombic
# E_tot: -5.2436 eV/atom
# N(E_F): 0.3810 states/eV/atom
data_SmH3Rh2
_chemical_formula_sum 'Sm4 H12 Rh8'
_space_group_name_H-M_alt 'C m c m'
_space_group_IT_number 63
_space_group_name_Hall '-C 2c 2'
_cell_length_a 6.8051
_cell_length_b 8.1443
_cell_length_c 5.4804
_cell_angle_alpha 90.00
_cell_angle_beta 90.00
_cell_angle_gamma 90.00
loop_
_atom_site_label
_atom_site_type_symbol
_atom_site_fract_x
_atom_site_fract_y
_atom_site_fract_z
Sm1 Sm 0.0000 0.2050 0.2500
H1 H 0.0000 0.4803 0.7500
H2 H 0.1589 0.0714 0.7500
Rh1 Rh 0.2035 0.5000 0.0000


[4]
# PBE SmH8Rh4, relaxed
# Crystal system: monoclinic
# E_tot: -4.8832 eV/atom
# N(E_F): 0.3453 states/eV/atom
data_SmH8Rh4
_chemical_formula_sum 'Sm2 H16 Rh8'
_space_group_name_H-M_alt 'C 1 2/m 1'
_space_group_IT_number 12
_space_group_name_Hall '-C 2y'
_cell_length_a 9.0126
_cell_length_b 5.5788
_cell_length_c 5.3830
_cell_angle_alpha 90.00
_cell_angle_beta 120.69
_cell_angle_gamma 90.00
loop_
_atom_site_label
_atom_site_type_symbol
_atom_site_fract_x
_atom_site_fract_y
_atom_site_fract_z
Sm1 Sm 0.0000 0.0000 0.0000
H1 H 0.0393 0.5000 0.2455
H2 H 0.1307 0.0000 0.5385
H3 H 0.2140 0.2985 0.7983
Rh1 Rh 0.0000 0.2563 0.5000
Rh2 Rh 0.1819 0.5000 0.0505


[5]
# PBE SmH12Rh4, relaxed
# Crystal system: cubic
# E_tot: -4.5140 eV/atom
# N(E_F): 0.1729 states/eV/atom
data_SmH12Rh4
_chemical_formula_sum 'Sm2 H24 Rh8'
_space_group_name_H-M_alt 'I m -3'
_space_group_IT_number 204
_space_group_name_Hall '-I 2 2 3'
_cell_length_a 6.8099
_cell_length_b 6.8099
_cell_length_c 6.8099
_cell_angle_alpha 90.00
_cell_angle_beta 90.00
_cell_angle_gamma 90.00
loop_
_atom_site_label
_atom_site_type_symbol
_atom_site_fract_x
_atom_site_fract_y
_atom_site_fract_z
Sm1 Sm 0.0000 0.0000 0.0000
H1 H 0.0000 0.2343 0.2920
Rh1 Rh 0.2500 0.2500 0.2500


[6]
# PBE SmH8Rh2, relaxed
# Polymorph energy (0 for the lowest one): 54 kJ/mol of formula units
# Crystal system: tetragonal
# E_tot: -4.3608 eV/atom
# N(E_F): 0.4131 states/eV/atom
data_SmH8Rh2
_chemical_formula_sum 'Sm2 H16 Rh4'
_space_group_name_H-M_alt 'I 4/m m m'
_space_group_IT_number 139
_space_group_name_Hall '-I 4 2'
_cell_length_a 4.4089
_cell_length_b 4.4089
_cell_length_c 9.8406
_cell_angle_alpha 90.00
_cell_angle_beta 90.00
_cell_angle_gamma 90.00
loop_
_atom_site_label
_atom_site_type_symbol
_atom_site_fract_x
_atom_site_fract_y
_atom_site_fract_z
Sm1 Sm 0.0000 0.0000 0.0000
H1 H 0.2221 0.2221 0.3423
Rh1 Rh 0.0000 0.5000 0.2500


[7]
# PBE Sm2HRh, relaxed
# Polymorph energy (0 for the lowest one): 0 kJ/mol of formula units
# Crystal system: monoclinic
# E_tot: -5.6401 eV/atom
# N(E_F): 0.6472 states/eV/atom
data_Sm2HRh
_chemical_formula_sum 'Sm8 H4 Rh4'
_space_group_name_H-M_alt 'C 1 2/m 1'
_space_group_IT_number 12
_space_group_name_Hall '-C 2y'
_cell_length_a 13.9479
_cell_length_b 3.7839
_cell_length_c 6.9960
_cell_angle_alpha 90.00
_cell_angle_beta 113.61
_cell_angle_gamma 90.00
loop_
_atom_site_label
_atom_site_type_symbol
_atom_site_fract_x
_atom_site_fract_y
_atom_site_fract_z
Sm1 Sm 0.0136 0.0000 0.2561
Sm2 Sm 0.2154 0.5000 0.7478
H1 H 0.1115 0.0000 0.6042
Rh1 Rh 0.1173 0.5000 0.0648


[8]
# PBE Sm3HRh8, relaxed
# Crystal system: trigonal
# E_tot: -6.8135 eV/atom
# N(E_F): 1.0082 states/eV/atom
data_Sm3HRh8
_chemical_formula_sum 'Sm9 H3 Rh24'
_space_group_name_H-M_alt 'R 3 m'
_space_group_IT_number 160
_space_group_name_Hall 'R 3 -2"'
_cell_length_a 5.3542
_cell_length_b 5.3542
_cell_length_c 26.0837
_cell_angle_alpha 90.00
_cell_angle_beta 90.00
_cell_angle_gamma 120.00
loop_
_atom_site_label
_atom_site_type_symbol
_atom_site_fract_x
_atom_site_fract_y
_atom_site_fract_z
Sm1 Sm 0.0000 0.0000 0.0000
Sm2 Sm 0.0000 0.0000 0.1317
Sm3 Sm 0.0000 0.0000 0.6093
H1 H 0.0000 0.0000 0.4315
Rh1 Rh 0.0000 0.0000 0.3117
Rh2 Rh 0.0000 0.0000 0.8128
Rh3 Rh 0.0017 0.5008 0.5618
Rh4 Rh 0.1693 0.3387 0.3947


[9]
# PBE Sm2HRh, relaxed
# Polymorph energy (0 for the lowest one): 38 kJ/mol of formula units
# Crystal system: trigonal
# E_tot: -5.5408 eV/atom
# N(E_F): 0.4002 states/eV/atom
data_Sm2HRh
_chemical_formula_sum 'Sm6 H3 Rh3'
_space_group_name_H-M_alt 'R -3 m'
_space_group_IT_number 166
_space_group_name_Hall '-R 3 2"'
_cell_length_a 3.9801
_cell_length_b 3.9801
_cell_length_c 18.3553
_cell_angle_alpha 90.00
_cell_angle_beta 90.00
_cell_angle_gamma 120.00
loop_
_atom_site_label
_atom_site_type_symbol
_atom_site_fract_x
_atom_site_fract_y
_atom_site_fract_z
Sm1 Sm 0.0000 0.0000 0.2452
H1 H 0.0000 0.0000 0.5000
Rh1 Rh 0.0000 0.0000 0.0000


[10]
# PBE Sm6HRh2, relaxed
# Crystal system: monoclinic
# E_tot: -5.6399 eV/atom
# N(E_F): 0.8819 states/eV/atom
data_Sm6HRh2
_chemical_formula_sum 'Sm12 H2 Rh4'
_space_group_name_H-M_alt 'P 1 21/c 1'
_space_group_IT_number 14
_space_group_name_Hall '-P 2ybc'
_cell_length_a 6.4493
_cell_length_b 7.2210
_cell_length_c 11.6399
_cell_angle_alpha 90.00
_cell_angle_beta 122.58
_cell_angle_gamma 90.00
loop_
_atom_site_label
_atom_site_type_symbol
_atom_site_fract_x
_atom_site_fract_y
_atom_site_fract_z
Sm1 Sm 0.1062 0.1755 0.4353
Sm2 Sm 0.2674 0.6728 0.4347
Sm3 Sm 0.3912 0.0350 0.2476
H1 H 0.0000 0.0000 0.0000
Rh1 Rh 0.1758 0.1205 0.7417


[11]
# PBE SmH6Rh2, relaxed
# Polymorph energy (0 for the lowest one): 11 kJ/mol of formula units
# Crystal system: hexagonal
# E_tot: -4.7004 eV/atom
# N(E_F): 0.5197 states/eV/atom
data_SmH6Rh2
_chemical_formula_sum 'Sm1 H6 Rh2'
_space_group_name_H-M_alt 'P 6/m m m'
_space_group_IT_number 191
_space_group_name_Hall '-P 6 2'
_cell_length_a 4.7546
_cell_length_b 4.7546
_cell_length_c 4.1423
_cell_angle_alpha 90.00
_cell_angle_beta 90.00
_cell_angle_gamma 120.00
loop_
_atom_site_label
_atom_site_type_symbol
_atom_site_fract_x
_atom_site_fract_y
_atom_site_fract_z
Sm1 Sm 0.0000 0.0000 0.0000
H1 H 0.0000 0.5000 0.2298
Rh1 Rh 0.3333 0.6667 0.5000


[12]
# PBE SmH6Rh2, relaxed
# Polymorph energy (0 for the lowest one): 0 kJ/mol of formula units
# Crystal system: monoclinic
# E_tot: -4.7137 eV/atom
# N(E_F): 0.1476 states/eV/atom
data_SmH6Rh2
_chemical_formula_sum 'Sm2 H12 Rh4'
_space_group_name_H-M_alt 'C 1 2/m 1'
_space_group_IT_number 12
_space_group_name_Hall '-C 2y'
_cell_length_a 5.6809
_cell_length_b 5.6847
_cell_length_c 5.8898
_cell_angle_alpha 90.00
_cell_angle_beta 117.35
_cell_angle_gamma 90.00
loop_
_atom_site_label
_atom_site_type_symbol
_atom_site_fract_x
_atom_site_fract_y
_atom_site_fract_z
Sm1 Sm 0.0000 0.0000 0.0000
H1 H 0.1479 0.2631 0.8161
H2 H 0.2326 0.0000 0.5006
Rh1 Rh 0.0000 0.2537 0.5000


Repeat the tenth record exactly.
# PBE Sm6HRh2, relaxed
# Crystal system: monoclinic
# E_tot: -5.6399 eV/atom
# N(E_F): 0.8819 states/eV/atom
data_Sm6HRh2
_chemical_formula_sum 'Sm12 H2 Rh4'
_space_group_name_H-M_alt 'P 1 21/c 1'
_space_group_IT_number 14
_space_group_name_Hall '-P 2ybc'
_cell_length_a 6.4493
_cell_length_b 7.2210
_cell_length_c 11.6399
_cell_angle_alpha 90.00
_cell_angle_beta 122.58
_cell_angle_gamma 90.00
loop_
_atom_site_label
_atom_site_type_symbol
_atom_site_fract_x
_atom_site_fract_y
_atom_site_fract_z
Sm1 Sm 0.1062 0.1755 0.4353
Sm2 Sm 0.2674 0.6728 0.4347
Sm3 Sm 0.3912 0.0350 0.2476
H1 H 0.0000 0.0000 0.0000
Rh1 Rh 0.1758 0.1205 0.7417


Look up the E_tot of the tenth one.
-5.6399 eV/atom


What is the formula in the third record?
SmH3Rh2


What is the formula in the third record?
SmH3Rh2